Entry 1:
First-principles (PBE-GGA) data for an optimized crystal structure of Sc2PAu, as listed in Alexandria via LeMat-Bulk.

POSCAR file:
```
Sc2PAu
1.0
-3.534 3.534 3.439
3.534 -3.534 3.439
3.534 3.534 -3.439
Sc P Au
4 2 2
Direct
0.105 0.625 0.980
0.375 0.355 0.480
0.645 0.125 0.020
0.875 0.895 0.520
0.000 0.000 0.000
0.750 0.250 0.500
0.250 0.750 0.500
0.500 0.500 0.000
```

SG: I-42d (122)
Formation enthalpy at 0 K in eV per atom: -0.699



Entry 2:
First-principles (PBE-GGA) data for an optimized crystal structure of ScP2Au, as listed in Alexandria via LeMat-Bulk.

POSCAR file:
```
ScP2Au
1.0
-2.032 2.032 4.165
2.032 -2.032 4.165
2.032 2.032 -4.165
Sc P Au
1 2 1
Direct
0.000 0.000 0.000
0.250 0.750 0.500
0.750 0.250 0.500
0.500 0.500 0.000
```

Excess energy over the best structure of this formula in the dataset in eV per atom: 0.354
SG: I4/mmm (139)
Formation enthalpy at 0 K in eV per atom: -0.181



Entry 3:
First-principles (PBE-GGA) data for an optimized crystal structure of ScPAu3, as listed in Alexandria via LeMat-Bulk.

POSCAR file:
```
ScPAu3
1.0
5.070 0.000 0.000
0.000 5.070 0.000
0.000 0.000 5.070
Sc P Au
1 1 3
Direct
0.000 0.000 0.000
0.500 0.500 0.500
0.000 0.000 0.500
0.000 0.500 0.000
0.500 0.000 0.000
```

Excess energy over the best structure of this formula in the dataset in eV per atom: 0.903
SG: Pm-3m (221)
Formation enthalpy at 0 K in eV per atom: 0.932



Entry 4:
First-principles (PBE-GGA) data for an optimized crystal structure of Sc2PAu, as listed in Alexandria via LeMat-Bulk.

POSCAR file:
```
Sc2PAu
1.0
3.870 0.000 0.000
0.000 3.870 0.000
0.000 0.000 5.509
Sc P Au
2 1 1
Direct
0.000 0.000 0.000
0.500 0.500 0.500
0.000 0.000 0.500
0.500 0.500 0.000
```

SG: P4/mmm (123)
Formation enthalpy at 0 K in eV per atom: -0.887